! GaMo2F2, optimized geometry, DFT GGA+U; values from VASP
&SYSTEM
  ibrav = 0, nat = 5, ntyp = 3
/
ATOMIC_SPECIES
Ga 69.72 Ga.upf
Mo 95.94 Mo.upf
F 19.00 F.upf
CELL_PARAMETERS angstrom
-2.400 2.400 3.658
2.400 -2.400 3.658
2.400 2.400 -3.658
ATOMIC_POSITIONS angstrom
Ga 0.000 0.000 0.000
Mo 2.400 0.000 1.829
Mo 0.000 2.400 1.829
F 0.000 0.000 2.355
F 0.000 0.000 4.960
! Space-group type: I4/mmm, No. 139
! Distance to the lowest polymorph of the same formula: 0.000 eV/atom
! Calculated volume: 16.9 Å³ per atom